No. 1
Entry from Alexandria via LeMat-Bulk: YCr2As2 after structural relaxation (PBE).

It has space group I4/mmm (No. 139), with a = 4.5736 Å, b = 4.5736 Å, c = 8.2397 Å, α = 90.00°, β = 90.00° and γ = 90.00°. The asymmetric unit holds Y at (0.0000, 0.0000, 0.0000), Cr at (0.0000, 0.0000, 0.3825) and As at (0.0000, 0.5000, 0.2500).

Its crystal system is tetragonal. The magnetic moment comes out at 0.000 μB/cell. The calculation puts the volume at 17.2 A^3/atom. The formation energy comes out at -0.388 eV per atom.

---

No. 2
Entry from Alexandria via LeMat-Bulk: HfTaNb3 after structural relaxation (PBE).

It has space group Pm-3m (No. 221), with a = 4.8833 Å, b = 4.8833 Å, c = 4.8833 Å, α = 90.00°, β = 90.00° and γ = 90.00°. The asymmetric unit holds Hf at (0.0000, 0.0000, 0.0000), Ta at (0.5000, 0.5000, 0.5000) and Nb at (0.0000, 0.5000, 0.5000).

Its crystal system is cubic. The magnetic moment comes out at 0.000 μB/cell. The calculation puts the volume at 23.3 A^3/atom. The formation energy comes out at 1.261 eV per atom.

---

No. 3
Entry from Alexandria via LeMat-Bulk: YAuSeBr2 after structural relaxation (PBE).

It has space group P4/mmm (No. 123), with a = 5.4527 Å, b = 5.4527 Å, c = 5.6781 Å, α = 90.00°, β = 90.00° and γ = 90.00°. The asymmetric unit holds Y at (0.0000, 0.0000, 0.0000), Au at (0.5000, 0.5000, 0.5000), Se at (0.0000, 0.0000, 0.5000) and Br at (0.0000, 0.5000, 0.0000).

Its crystal system is tetragonal. The magnetic moment comes out at 0.000 μB/cell. The calculation puts the volume at 33.8 A^3/atom. The uncorrected formation energy is -3.11 eV/f.u.